Entry 1:
Here is a relaxed Dy2PaPtO8 crystal from Alexandria via LeMat-Bulk. Energies are from PBE-GGA.

Computed properties:
The uncorrected formation energy is -2597 meV/atom.

```
data_Dy2PaPtO8
_chemical_formula_sum 'Dy4 Pa2 Pt2 O16'
_cell_length_a 7.037
_cell_length_b 7.213
_cell_length_c 6.812
_cell_angle_alpha 90.00
_cell_angle_beta 90.00
_cell_angle_gamma 90.00
_space_group_name_H-M_alt 'C m m m'
_space_group_IT_number 65
_space_group_name_Hall '-C 2 2'
loop_
_atom_site_label
_atom_site_type_symbol
_atom_site_fract_x
_atom_site_fract_y
_atom_site_fract_z
Dy1 Dy 0.000 0.000 0.242
Pa1 Pa 0.000 0.500 0.500
Pt1 Pt 0.000 0.500 0.000
O1 O 0.000 0.318 0.233
O2 O 0.199 0.000 0.500
O3 O 0.219 0.000 0.000
```



Entry 2:
Here is a relaxed CaTa2Cu2 crystal from Alexandria via LeMat-Bulk. Energies are from PBE-GGA.

Computed properties:
The value obtained for the formation energy is 0.380 eV per atom.

```
data_CaTa2Cu2
_chemical_formula_sum 'Ca2 Ta4 Cu4'
_cell_length_a 8.081
_cell_length_b 8.081
_cell_length_c 2.771
_cell_angle_alpha 90.00
_cell_angle_beta 90.00
_cell_angle_gamma 90.00
_space_group_name_H-M_alt 'P 4/m b m'
_space_group_IT_number 127
_space_group_name_Hall '-P 4 2ab'
loop_
_atom_site_label
_atom_site_type_symbol
_atom_site_fract_x
_atom_site_fract_y
_atom_site_fract_z
Ca1 Ca 0.000 0.000 0.000
Ta1 Ta 0.124 0.376 0.500
Cu1 Cu 0.169 0.669 0.000
```



Entry 3:
Here is a relaxed Ac2HgGe crystal from Alexandria via LeMat-Bulk. Energies are from PBE-GGA.

Computed properties:
The calculation puts the excess energy over the best structure of this formula in the dataset at 0.050 eV per atom. The value obtained for the formation energy is -0.513 eV per atom.

```
data_Ac2HgGe
_chemical_formula_sum 'Ac8 Hg4 Ge4'
_cell_length_a 7.956
_cell_length_b 7.956
_cell_length_c 7.956
_cell_angle_alpha 90.00
_cell_angle_beta 90.00
_cell_angle_gamma 90.00
_space_group_name_H-M_alt 'F m -3 m'
_space_group_IT_number 225
_space_group_name_Hall '-F 4 2 3'
loop_
_atom_site_label
_atom_site_type_symbol
_atom_site_fract_x
_atom_site_fract_y
_atom_site_fract_z
Ac1 Ac 0.250 0.250 0.250
Hg1 Hg 0.000 0.000 0.000
Ge1 Ge 0.000 0.000 0.500
```



Entry 4:
Here is a relaxed Ti5Fe4Au crystal from Alexandria via LeMat-Bulk. Energies are from PBE-GGA.

Computed properties:
The value obtained for the formation energy is -0.392 eV per atom.

```
data_Ti5Fe4Au
_chemical_formula_sum 'Ti5 Fe4 Au1'
_cell_length_a 2.936
_cell_length_b 2.936
_cell_length_c 15.966
_cell_angle_alpha 90.00
_cell_angle_beta 90.00
_cell_angle_gamma 90.00
_space_group_name_H-M_alt 'P 4/m m m'
_space_group_IT_number 123
_space_group_name_Hall '-P 4 2'
loop_
_atom_site_label
_atom_site_type_symbol
_atom_site_fract_x
_atom_site_fract_y
_atom_site_fract_z
Ti1 Ti 0.000 0.000 0.000
Ti2 Ti 0.000 0.000 0.186
Ti3 Ti 0.000 0.000 0.373
Fe1 Fe 0.500 0.500 0.093
Fe2 Fe 0.500 0.500 0.279
Au1 Au 0.500 0.500 0.500
```



For the records above, the corresponding M_tot values read 0.07 0.00 0.00 0.00 μB per atom.